(1)
DFT (PBE-GGA) results for an optimized crystal structure of TbNd6Ho3.

```
TbNd6Ho3
1.0
-6.112 -2.053 0.005
1.020 -3.062 -11.341
2.076 -6.158 9.839
Tb Nd Ho
2 12 6
Cartesian
1.819 -5.700 6.501
-1.960 -4.607 -8.000
1.611 -6.229 -2.294
-1.318 -7.627 0.254
0.349 -7.559 3.634
-3.170 -7.228 -5.655
-0.876 -3.754 -11.000
-3.124 -6.868 3.478
-0.489 -4.606 -4.975
-2.909 -7.777 9.503
-0.731 -4.343 4.158
-4.251 -4.012 -5.131
0.496 -2.909 -1.753
-2.433 -4.307 0.795
-0.556 -8.295 -3.902
-3.347 -10.097 1.409
1.081 -5.043 0.945
-2.144 -5.574 -2.443
-5.406 -3.968 2.408
-2.615 -2.165 -2.904
```

* calculated formation energy: 0.1257 eV/atom
* final energy: -4.5714 eV/atom
* D(E_F): 1.606 states/eV/atom

(2)
DFT (PBE-GGA) results for an optimized crystal structure of Tb6NdHo8.

```
Tb6NdHo8
1.0
-1.398 -5.098 7.312
4.488 -7.762 1.014
6.041 -0.962 6.051
Tb Nd Ho
6 1 8
Cartesian
8.646 -10.117 9.582
1.627 -2.453 1.777
2.843 -5.465 2.973
6.287 -8.357 11.404
7.503 -11.369 12.600
0.484 -3.705 4.795
0.000 0.000 0.000
4.365 -4.030 5.638
2.059 -4.943 7.957
5.750 -6.742 4.137
3.416 -7.673 6.438
5.714 -6.148 7.940
3.380 -7.080 10.240
7.071 -8.879 6.420
4.765 -9.792 8.739
```

* calculated formation energy: 0.1316 eV/atom
* final energy: -4.4798 eV/atom
* D(E_F): 1.458 states/eV/atom

(3)
DFT (PBE-GGA) results for an optimized crystal structure of Tb7Nd3Ho2.

```
Tb7Nd3Ho2
1.0
-5.640 -3.078 -1.128
-0.286 -6.509 0.326
-4.543 -2.530 10.759
Tb Nd Ho
7 3 2
Cartesian
-5.235 -6.058 4.979
-4.034 -5.952 8.155
-6.865 -7.497 7.589
-6.722 -4.229 7.425
-6.435 -6.165 1.803
-3.747 -7.888 2.533
-3.604 -4.620 2.369
0.000 0.000 0.000
-3.347 -2.840 5.625
-7.122 -9.277 4.332
-6.518 -5.726 10.491
-3.951 -6.391 -0.534
```

* calculated formation energy: 0.2862 eV/atom
* final energy: -4.3697 eV/atom
* D(E_F): 1.648 states/eV/atom

(4)
DFT (PBE-GGA) results for an optimized crystal structure of Tb4Nd4Ho3.

```
Tb4Nd4Ho3
1.0
3.560 0.000 -0.656
-0.851 8.206 -4.619
0.356 1.301 11.921
Tb Nd Ho
4 4 3
Cartesian
2.596 2.583 4.111
0.469 6.923 2.535
1.085 6.702 -4.100
1.624 1.504 -1.175
2.000 4.204 0.860
1.367 2.388 7.427
1.065 5.302 5.786
1.697 7.118 -0.781
2.699 8.351 4.662
0.366 1.155 1.984
-0.425 4.103 -2.310
```

* calculated formation energy: 0.1225 eV/atom
* final energy: -4.5434 eV/atom
* D(E_F): 1.612 states/eV/atom

(5)
DFT (PBE-GGA) results for an optimized crystal structure of TbNd6Ho6.

```
TbNd6Ho6
1.0
-4.564 3.093 -3.868
-1.987 -3.562 5.360
0.815 9.343 6.511
Tb Nd Ho
1 6 6
Cartesian
0.000 0.000 0.000
0.535 6.127 4.269
0.281 3.216 2.241
-2.846 -1.343 2.284
-3.705 0.875 -0.792
-2.438 3.328 5.539
-3.298 5.547 2.463
-0.379 5.258 7.585
-1.668 8.585 2.971
-2.662 6.804 5.651
-2.081 3.851 -0.328
-0.792 0.524 4.286
-3.075 2.071 2.352
```

* calculated formation energy: 0.2672 eV/atom
* final energy: -4.4024 eV/atom
* D(E_F): 2.161 states/eV/atom

(6)
DFT (PBE-GGA) results for an optimized crystal structure of Tb2Nd3Ho6.

```
Tb2Nd3Ho6
1.0
5.905 0.000 1.772
2.953 5.354 0.886
-1.269 0.000 11.527
Tb Nd Ho
2 3 6
Cartesian
2.318 3.575 6.649
5.271 1.778 7.535
0.000 0.000 0.000
2.953 1.759 0.886
5.905 3.594 1.772
3.493 3.571 9.931
3.489 0.000 9.936
0.540 1.783 9.045
1.148 0.000 3.363
4.097 1.783 4.253
7.049 3.571 5.139
```

* calculated formation energy: 0.2009 eV/atom
* final energy: -4.4383 eV/atom
* D(E_F): 1.692 states/eV/atom